MgTiSiOs | PBE-GGA | relaxed

It has space group F-43m (No. 216), with a = 6.141 Å, b = 6.141 Å, c = 6.141 Å, α = 90.00°, β = 90.00° and γ = 90.00°. Symmetry generates all atoms from Mg at (0.000, 0.000, 0.000), Ti at (0.250, 0.250, 0.250), Si at (0.250, 0.250, 0.750) and Os at (0.000, 0.000, 0.500).

The total energy is -6.919 eV/atom.

=====

RbTiBeTe2 | PBE-GGA | relaxed

It has space group P4/mmm (No. 123), with a = 5.372 Å, b = 5.372 Å, c = 6.823 Å, α = 90.00°, β = 90.00° and γ = 90.00°. Symmetry generates all atoms from Rb at (0.000, 0.000, 0.000), Ti at (0.000, 0.000, 0.500), Be at (0.500, 0.500, 0.000) and Te at (0.000, 0.500, 0.500).

The total energy is -3.331 eV/atom. For the density of states at the Fermi level, the calculation gives 3.3 states/eV/f.u.

=====

Sm2Pd6Au | PBE-GGA | relaxed

It has space group C2/m (No. 12), with a = 12.337 Å, b = 4.133 Å, c = 6.871 Å, α = 90.00°, β = 108.25° and γ = 90.00°. Symmetry generates all atoms from Sm at (0.068, 0.000, 0.327), Pd at (0.114, 0.500, 0.676), Pd at (0.171, 0.000, 0.001), Pd at (0.226, 0.500, 0.317) and Au at (0.000, 0.500, 0.000).

The total energy is -5.471 eV/atom. For the density of states at the Fermi level, the calculation gives 3.5 states/eV/f.u. The calculation puts the excess energy over the best structure of this formula in the dataset at 33 meV per atom.

=====

Ca2TlTc | PBE-GGA | relaxed

It has space group P4/mmm (No. 123), with a = 5.344 Å, b = 5.344 Å, c = 3.515 Å, α = 90.00°, β = 90.00° and γ = 90.00°. Symmetry generates all atoms from Ca at (0.000, 0.500, 0.000), Tl at (0.000, 0.000, 0.500) and Tc at (0.500, 0.500, 0.500).

The total energy is -3.815 eV/atom. For the density of states at the Fermi level, the calculation gives 4.7 states/eV/f.u. The calculation puts the excess energy over the best structure of this formula in the dataset at 73 meV per atom.

=====

AcTaPdO6 | PBE-GGA | relaxed

It has space group P-31c (No. 163), with a = 5.3232 Å, b = 5.3232 Å, c = 10.8291 Å, α = 90.00°, β = 90.00° and γ = 120.00°. Symmetry generates all atoms from Ac at (0.0000, 0.0000, 0.0000), Ta at (0.3333, 0.6667, 0.2500), Pd at (0.3333, 0.6667, 0.7500) and O at (0.0045, 0.3750, 0.1457).

The total energy is -7.907 eV/atom. For the density of states at the Fermi level, the calculation gives 0.0 states/eV/f.u.

=====

LaFe3Pd | PBE-GGA | relaxed

It has space group Pm-3m (No. 221), with a = 4.732 Å, b = 4.732 Å, c = 4.732 Å, α = 90.00°, β = 90.00° and γ = 90.00°. Symmetry generates all atoms from La at (0.000, 0.000, 0.000), Fe at (0.000, 0.500, 0.500) and Pd at (0.500, 0.500, 0.500).

The total energy is -6.464 eV/atom. For the density of states at the Fermi level, the calculation gives 10.6 states/eV/f.u. The calculation puts the excess energy over the best structure of this formula in the dataset at 0 meV per atom.

=====

Ac2SeI2 | PBE-GGA | relaxed

It has space group C2/m (No. 12), with a = 7.899 Å, b = 4.562 Å, c = 12.637 Å, α = 90.00°, β = 103.28° and γ = 90.00°. Symmetry generates all atoms from Ac at (0.216, 0.000, 0.135), Se at (0.000, 0.500, 0.000) and I at (0.053, 0.000, 0.691).

The total energy is -4.572 eV/atom. For the density of states at the Fermi level, the calculation gives 1.0 states/eV/f.u. The calculation puts the excess energy over the best structure of this formula in the dataset at 0 meV per atom.

=====

ErHfSi2 | PBE-GGA | relaxed

It has space group R-3m (No. 166, hexagonal axes), with a = 3.8377 Å, b = 3.8377 Å, c = 19.9834 Å, α = 90.00°, β = 90.00° and γ = 120.00°. Symmetry generates all atoms from Er at (0.0000, 0.0000, 0.0000), Hf at (0.0000, 0.0000, 0.5000) and Si at (0.0000, 0.0000, 0.2434).

The total energy is -6.877 eV/atom. For the density of states at the Fermi level, the calculation gives 2.2 states/eV/f.u. The calculation puts the excess energy over the best structure of this formula in the dataset at 232 meV per atom.